# Dy2Th2Tl3

Dy2Th2Tl3 after structural relaxation (PBE-GGA, Alexandria).

It has space group Cmmm (No. 65), with a = 3.548 Å, b = 32.546 Å, c = 3.516 Å, α = 90.00°, β = 90.00° and γ = 90.00°. The asymmetric unit holds Dy at (0.000, 0.066, 0.000), Th at (0.000, 0.205, 0.000), Tl at (0.000, 0.367, 0.500) and Tl at (0.000, 0.500, 0.500).

The formation energy comes out at -0.89 eV per formula unit. The value obtained for the calculated volume is 29.00 Å³ per atom. For the energy, the calculation gives -64.07 eV per cell.